# 1
# SrTe2Pt

A relaxed SrTe2Pt crystal (GGA-PBE, Alexandria).

```
SrTe2Pt
1.0
4.400 0.000 0.000
-2.200 3.811 0.000
0.000 0.000 20.853
Sr Te Pt
3 6 3
direct
0.000 0.000 0.000
0.333 0.667 0.667
0.667 0.333 0.333
0.000 0.000 0.229
0.000 0.000 0.771
0.333 0.667 0.438
0.333 0.667 0.896
0.667 0.333 0.104
0.667 0.333 0.562
0.000 0.000 0.500
0.333 0.667 0.167
0.667 0.333 0.833
```

- Calculated volume: 29.14 Å³ per atom
- Crystal system: trigonal
- Formation energy from raw total energies: -635.3 meV/atom
- Calculated total energy: -4.1368 eV/atom
- SG: R-3m
- Energy relative to the lowest polymorph listed for this composition: 0.296 eV/atom

# 2
# SrTePt

A relaxed SrTePt crystal (GGA-PBE, Alexandria).

```
SrTePt
1.0
4.311 0.000 0.000
0.000 4.311 0.000
0.000 0.000 9.266
Sr Te Pt
2 2 2
direct
0.000 0.000 0.000
0.500 0.500 0.500
0.000 0.000 0.656
0.500 0.500 0.156
0.000 0.000 0.379
0.500 0.500 0.879
```

- Calculated volume: 28.70 Å³ per atom
- Crystal system: tetragonal
- Formation energy from raw total energies: -623.5 meV/atom
- Calculated total energy: -4.2450 eV/atom
- SG: I4mm
- Energy relative to the lowest polymorph listed for this composition: 0.476 eV/atom